Crystalline Sr4ZrPt at its relaxed geometry. Source: Alexandria, functional GGA-PBE.

Properties
Energy of formation from the pure elements: 5.28 eV per formula unit

Cell lengths 6.733, 6.733, 6.733 Å; angles 60.00, 60.00, 60.00 degrees
Last column: magnetic moment on the atom in μB.
Fractional coordinates of all 6 atoms:
1 Sr 0.375 0.375 0.875  0.13
2 Sr 0.375 0.875 0.375  0.13
3 Sr 0.375 0.375 0.375  0.13
4 Sr 0.875 0.375 0.375  0.13
5 Zr 0.750 0.750 0.750  1.47
6 Pt 0.000 0.000 0.000  0.09

---

Crystalline PuTl4Br7 at its relaxed geometry. Source: Alexandria, functional GGA-PBE.

Properties
Raw formation energy: -1050 meV/atom

Cell lengths 5.618, 7.879, 11.867 Å; angles 112.89, 103.69, 90.00 degrees
Last column: magnetic moment on the atom in μB.
Fractional coordinates of all 12 atoms:
1 Tl 0.304 0.858 0.608  0.00
2 Tl 0.696 0.142 0.392  0.00
3 Tl 0.415 0.469 0.830  0.00
4 Tl 0.585 0.531 0.170  0.00
5 Br 0.724 0.779 0.448  0.00
6 Br 0.500 0.000 0.000  -0.04
7 Br 0.886 0.669 0.771  -0.03
8 Br 0.276 0.221 0.552  0.00
9 Br 0.078 0.796 0.156  -0.03
10 Br 0.114 0.331 0.229  -0.03
11 Br 0.922 0.204 0.844  -0.03
12 Pu 0.000 0.000 0.000  5.07

---

Crystalline NdTmBi2 at its relaxed geometry. Source: Alexandria, functional GGA-PBE.

Properties
Energy of formation from the pure elements: -3.45 eV per formula unit
Polymorph energy (0 for the lowest one): 0 meV/atom

Cell lengths 4.528, 4.528, 7.822 Å; angles 89.95, 106.86, 120.03 degrees
Fractional coordinates of all 4 atoms:
1 Nd 0.000 0.500 0.500
2 Tm 0.000 0.000 0.000
3 Bi 0.492 0.746 0.238
4 Bi 0.508 0.254 0.762

---

Crystalline VHgS2N at its relaxed geometry. Source: Alexandria, functional GGA-PBE.

Properties
Raw formation energy: 1634 meV/atom
Polymorph energy (0 for the lowest one): 1553 meV/atom

Cell lengths 5.066, 5.066, 4.062 Å; angles 90.00, 90.00, 90.00 degrees
Last column: magnetic moment on the atom in μB.
Fractional coordinates of all 5 atoms:
1 N 0.000 0.000 0.500  -0.99
2 S 0.500 0.000 0.000  -0.01
3 S 0.000 0.500 0.000  -0.01
4 Hg 0.000 0.000 0.000  -0.07
5 V 0.500 0.500 0.500  -0.57

---

Crystalline CuPbBr2 at its relaxed geometry. Source: Alexandria, functional GGA-PBE.

Properties
Raw formation energy: -241 meV/atom
Polymorph energy (0 for the lowest one): 85 meV/atom

Cell lengths 3.821, 3.821, 8.811 Å; angles 90.00, 90.00, 122.83 degrees
Fractional coordinates of all 4 atoms:
1 Cu 0.500 0.500 0.250
2 Br 0.000 0.000 0.445
3 Br 0.000 0.000 0.055
4 Pb 0.500 0.500 0.750

---

Crystalline TaAs2Cl at its relaxed geometry. Source: Alexandria, functional GGA-PBE.

Properties
Raw formation energy: -361 meV/atom
Polymorph energy (0 for the lowest one): 0 meV/atom

Cell lengths 4.886, 4.886, 7.301 Å; angles 75.30, 75.30, 41.95 degrees
Fractional coordinates of all 4 atoms:
1 As 0.934 0.934 0.090
2 As 0.767 0.767 0.870
3 Cl 0.581 0.581 0.395
4 Ta 0.218 0.218 0.145

---

Crystalline Ba3TbP2N6 at its relaxed geometry. Source: Alexandria, functional GGA-PBE.

Properties
Raw formation energy: -937 meV/atom

Cell lengths 5.998, 5.998, 7.305 Å; angles 90.00, 90.00, 120.00 degrees
Fractional coordinates of all 12 atoms:
1 N 0.819 0.639 0.703
2 N 0.361 0.181 0.703
3 N 0.639 0.819 0.297
4 N 0.181 0.361 0.297
5 N 0.181 0.819 0.297
6 N 0.819 0.181 0.703
7 Ba 0.333 0.667 0.695
8 Ba 0.667 0.333 0.305
9 Ba 0.000 0.000 0.000
10 Tb 0.000 0.000 0.500
11 P 0.333 0.667 0.266
12 P 0.667 0.333 0.734

---

Crystalline YMnCo2Os at its relaxed geometry. Source: Alexandria, functional GGA-PBE.

Properties
Energy of formation from the pure elements: 12.84 eV per formula unit

Cell lengths 4.446, 4.913, 4.446 Å; angles 90.00, 90.00, 90.00 degrees
Last column: magnetic moment on the atom in μB.
Fractional coordinates of all 5 atoms:
1 Mn 0.500 0.500 0.500  0.65
2 Os 0.000 0.500 0.000  0.50
3 Co 0.000 0.000 0.500  0.19
4 Co 0.500 0.000 0.000  0.02
5 Y 0.000 0.000 0.000  -0.05

---

Crystalline Pm2AgHg at its relaxed geometry. Source: Alexandria, functional GGA-PBE.

Properties
Energy of formation from the pure elements: -1.49 eV per formula unit
Polymorph energy (0 for the lowest one): 3 meV/atom

Cell lengths 3.776, 5.330, 5.330 Å; angles 90.00, 90.00, 90.00 degrees
Last column: magnetic moment on the atom in μB.
Fractional coordinates of all 4 atoms:
1 Hg 0.500 0.000 0.000  0.00
2 Ag 0.500 0.500 0.500  0.01
3 Pm 0.000 0.500 0.000  0.06
4 Pm 0.000 0.000 0.500  0.06

---

Crystalline CuRu2Br at its relaxed geometry. Source: Alexandria, functional GGA-PBE.

Properties
Raw formation energy: 744 meV/atom
Polymorph energy (0 for the lowest one): 299 meV/atom

Cell lengths 2.826, 2.826, 9.269 Å; angles 90.00, 90.00, 119.94 degrees
Last column: magnetic moment on the atom in μB.
Fractional coordinates of all 4 atoms:
1 Br 0.000 0.000 0.505  0.01
2 Ru 0.000 0.000 0.001  0.49
3 Ru 0.500 0.500 0.228  0.43
4 Cu 0.500 0.500 0.766  0.01

---

Crystalline NdY5Te4 at its relaxed geometry. Source: Alexandria, functional GGA-PBE.

Properties
Raw formation energy: -944 meV/atom

Cell lengths 4.232, 8.555, 9.430 Å; angles 102.92, 102.97, 90.00 degrees
Fractional coordinates of all 10 atoms:
1 Y 0.841 0.205 0.682
2 Y 0.500 0.500 0.000
3 Y 0.810 0.645 0.620
4 Y 0.159 0.795 0.318
5 Y 0.190 0.355 0.380
6 Te 0.672 0.072 0.344
7 Te 0.985 0.734 0.969
8 Te 0.015 0.266 0.031
9 Te 0.328 0.928 0.656
10 Nd 0.500 0.000 0.000

---

Crystalline Rb3Cd4Hg2Au2 at its relaxed geometry. Source: Alexandria, functional GGA-PBE.

Properties
Energy of formation from the pure elements: -1.81 eV per formula unit

Cell lengths 4.935, 4.935, 15.011 Å; angles 99.46, 99.46, 90.00 degrees
Fractional coordinates of all 11 atoms:
1 Hg 0.336 0.336 0.671
2 Hg 0.664 0.664 0.329
3 Au 0.547 0.547 0.094
4 Au 0.453 0.453 0.906
5 Rb 0.203 0.203 0.406
6 Rb 0.797 0.797 0.594
7 Rb 0.000 0.000 0.000
8 Cd 0.400 0.900 0.800
9 Cd 0.900 0.400 0.800
10 Cd 0.600 0.100 0.200
11 Cd 0.100 0.600 0.200

---

Crystalline NaLiGa2 at its relaxed geometry. Source: Alexandria, functional GGA-PBE.

Properties
Energy of formation from the pure elements: -0.73 eV per formula unit
Polymorph energy (0 for the lowest one): 0 meV/atom

Cell lengths 4.424, 7.533, 5.656 Å; angles 90.00, 112.93, 90.00 degrees
Fractional coordinates of all 8 atoms:
1 Ga 0.743 0.415 0.486
2 Ga 0.743 0.085 0.486
3 Ga 0.257 0.915 0.514
4 Ga 0.257 0.585 0.514
5 Na 0.949 0.750 0.898
6 Na 0.051 0.250 0.102
7 Li 0.349 0.250 0.699
8 Li 0.651 0.750 0.301

---

Crystalline AcTm2Ru at its relaxed geometry. Source: Alexandria, functional GGA-PBE.

Properties
Energy of formation from the pure elements: -0.94 eV per formula unit
Polymorph energy (0 for the lowest one): 0 meV/atom

Cell lengths 3.483, 3.483, 9.191 Å; angles 90.00, 90.00, 90.00 degrees
Fractional coordinates of all 4 atoms:
1 Tm 0.000 0.000 0.172
2 Tm 0.000 0.000 0.828
3 Ac 0.500 0.500 0.500
4 Ru 0.500 0.500 0.000